(1)
DFT (PBE) results for LiSi2P2 after structural relaxation.

a b c (Å): 5.0715 5.0715 5.0715
angles (deg): 126.14 126.14 79.65
Closest atoms and distances in Å follow each position.
Element x y z (fractional)
Li (0.0000, 0.0000, 0.0000)  2 P 2.59
Si (0.2500, 0.7500, 0.5000)  4 P 2.39
Si (0.7500, 0.2500, 0.5000)  4 P 2.39
P (0.3325, 0.3325, 0.0000)  4 Si 2.39, 1 Li 2.59, 1 P 2.61
P (0.6675, 0.6675, 0.0000)  4 Si 2.39, 1 Li 2.59, 1 P 2.61

Calculated values
Space group: No. 139
Excess energy over the best structure of this formula in the dataset: 1.082 eV/f.u.
Final energy: -23.1 eV per cell

***

(2)
DFT (PBE) results for PuSnSe after structural relaxation.

a b c (Å): 6.2215 6.2215 6.2215
angles (deg): 143.70 143.70 52.28
Closest atoms and distances in Å follow each position.
Element x y z (fractional)
Pu (0.0000, 0.0000, 0.0000)  4 Se 2.87
Sn (0.3138, 0.3138, 0.0000)  1 Se 2.94
Se (0.5771, 0.5771, 0.0000)  4 Pu 2.87, 1 Sn 2.94

Calculated values
Space group: No. 107
Final energy: -23.7 eV per cell

***

| no. | formation energy from raw total energies (eV/atom) |
| --- | --- |
| 1 | 0.089 |
| 2 | -0.628 |